(1)
Rb12Ag2Hg5 | Alexandria via LeMat-Bulk | PBE | relaxed; space-group type = No. 12; calculated density = 3.80 g cm⁻³; ΔH_f (0 K) = -0.074 eV/atom
1.0
7.747 -6.283 0.000
7.747 6.283 0.000
-2.118 0.000 10.086
Rb Ag Hg
12 2 5
Direct
0.007 0.342 0.826 Rb
0.092 0.092 0.179 Rb
0.177 0.598 0.617 Rb
0.342 0.007 0.826 Rb
0.391 0.391 0.221 Rb
0.402 0.823 0.383 Rb
0.598 0.177 0.617 Rb
0.609 0.609 0.779 Rb
0.658 0.993 0.174 Rb
0.823 0.402 0.383 Rb
0.908 0.908 0.821 Rb
0.993 0.658 0.174 Rb
0.309 0.691 0.000 Ag
0.691 0.309 0.000 Ag
0.000 0.000 0.500 Hg
0.206 0.206 0.525 Hg
0.389 0.389 0.875 Hg
0.611 0.611 0.125 Hg
0.794 0.794 0.475 Hg

=====

(2)
Rb4AgHg2 | Alexandria via LeMat-Bulk | PBE | relaxed; distance to the lowest polymorph of the same formula = 0.0 kJ per mole of atoms; space-group type = No. 2; calculated density = 4.31 g cm⁻³; ΔH_f (0 K) = -0.089 eV/atom
1.0
7.978 0.000 0.000
3.965 8.057 0.000
3.958 2.010 10.208
Rb Ag Hg
8 2 4
Direct
0.000 0.241 0.260 Rb
0.000 0.759 0.740 Rb
0.059 0.745 0.137 Rb
0.435 0.762 0.370 Rb
0.499 0.243 0.258 Rb
0.501 0.757 0.742 Rb
0.565 0.238 0.630 Rb
0.941 0.255 0.863 Rb
0.161 0.125 0.556 Ag
0.839 0.875 0.444 Ag
0.000 0.500 0.500 Hg
0.329 0.385 0.947 Hg
0.500 0.000 0.000 Hg
0.671 0.615 0.053 Hg

=====

(3)
RbAgHg2 | Alexandria via LeMat-Bulk | PBE | relaxed; distance to the lowest polymorph of the same formula = 5.8 kJ per mole of atoms; space-group type = No. 123; calculated density = 8.37 g cm⁻³; ΔH_f (0 K) = -0.062 eV/atom
1.0
3.840 0.000 0.000
0.000 3.840 0.000
0.000 0.000 7.998
Rb Ag Hg
1 1 2
Direct
0.000 0.000 0.000 Rb
0.000 0.000 0.500 Ag
0.500 0.500 0.308 Hg
0.500 0.500 0.692 Hg

=====

(4)
Rb5Ag2Hg | Alexandria via LeMat-Bulk | PBE | relaxed; space-group type = No. 140; calculated density = 3.54 g cm⁻³; ΔH_f (0 K) = -0.030 eV/atom
1.0
-4.697 4.697 8.967
4.697 -4.697 8.967
4.697 4.697 -8.967
Rb Ag Hg
10 4 2
Direct
0.000 0.000 0.000 Rb
0.031 0.531 0.844 Rb
0.187 0.031 0.500 Rb
0.313 0.813 0.844 Rb
0.469 0.313 0.500 Rb
0.500 0.500 0.000 Rb
0.531 0.687 0.500 Rb
0.687 0.187 0.156 Rb
0.813 0.969 0.500 Rb
0.969 0.469 0.156 Rb
0.108 0.392 0.500 Ag
0.392 0.892 0.283 Ag
0.608 0.108 0.717 Ag
0.892 0.608 0.500 Ag
0.250 0.250 0.000 Hg
0.750 0.750 0.000 Hg

=====

(5)
Rb3AgHg | Alexandria via LeMat-Bulk | PBE | relaxed; distance to the lowest polymorph of the same formula = 0.0 kJ per mole of atoms; space-group type = No. 59; calculated density = 3.83 g cm⁻³; ΔH_f (0 K) = -0.079 eV/atom
1.0
5.361 0.000 0.000
0.000 11.359 0.000
0.000 0.000 8.046
Rb Ag Hg
6 2 2
Direct
0.250 0.050 0.249 Rb
0.250 0.250 0.764 Rb
0.250 0.450 0.249 Rb
0.750 0.550 0.751 Rb
0.750 0.750 0.236 Rb
0.750 0.950 0.751 Rb
0.250 0.750 0.923 Ag
0.750 0.250 0.077 Ag
0.250 0.750 0.563 Hg
0.750 0.250 0.437 Hg

=====

(6)
RbAgHg2 | Alexandria via LeMat-Bulk | PBE | relaxed; distance to the lowest polymorph of the same formula = 10.3 kJ per mole of atoms; space-group type = No. 225; calculated density = 8.09 g cm⁻³; ΔH_f (0 K) = -0.015 eV/atom
1.0
7.875 0.000 0.000
0.000 7.875 0.000
0.000 0.000 7.875
Rb Ag Hg
4 4 8
Direct
0.000 0.000 0.000 Rb
0.000 0.500 0.500 Rb
0.500 0.000 0.500 Rb
0.500 0.500 0.000 Rb
0.000 0.000 0.500 Ag
0.000 0.500 0.000 Ag
0.500 0.000 0.000 Ag
0.500 0.500 0.500 Ag
0.250 0.250 0.250 Hg
0.250 0.250 0.750 Hg
0.250 0.750 0.250 Hg
0.250 0.750 0.750 Hg
0.750 0.250 0.250 Hg
0.750 0.250 0.750 Hg
0.750 0.750 0.250 Hg
0.750 0.750 0.750 Hg